[1]
A relaxed structure of HoGaNi. Source: the Alexandria database, functional PBE-GGA.

As for the total magnetization: 0.0 μB per cell. The calculation puts the mass density at 8.63 g/cm3. The calculation puts the final energy at -5.0556 eV per atom. As for the density of states at the Fermi level: 9.281 states/eV per cell.

Unit cell a=4.1765 b=7.7074 c=7.7068 alpha=65.56 beta=89.98 gamma=89.98
Fractional positions:
Ho: 0.7498 0.2804 0.0304
Ho: 0.7498 0.7805 0.5304
Ho: 0.2502 0.2195 0.4696
Ho: 0.2502 0.7196 0.9696
Ni: 0.7501 0.3748 0.6251
Ni: 0.2498 0.1252 0.8750
Ni: 0.2499 0.6252 0.3749
Ni: 0.7502 0.8748 0.1250
Ga: 0.2499 0.4768 0.7268
Ga: 0.2499 0.9768 0.2267
Ga: 0.7501 0.0232 0.7733
Ga: 0.7501 0.5232 0.2732

[2]
A relaxed structure of Ho3Ga2Ni3. Source: the Alexandria database, functional PBE-GGA.

As for the total magnetization: 0.0 μB per cell. The calculation puts the mass density at 8.96 g/cm3. The calculation puts the final energy at -5.2103 eV per atom. As for the density of states at the Fermi level: 19.806 states/eV per cell.

Unit cell a=5.5813 b=7.3212 c=14.6998 alpha=90.00 beta=90.00 gamma=90.00
Fractional positions:
Ho: 0.6092 0.3306 0.2500
Ho: 0.6511 0.0295 0.6047
Ho: 0.8489 0.5295 0.6047
Ho: 0.1511 0.4705 0.3953
Ho: 0.8908 0.8306 0.2500
Ho: 0.6511 0.0295 0.8953
Ho: 0.3489 0.9705 0.3953
Ho: 0.8489 0.5295 0.8953
Ho: 0.3489 0.9705 0.1047
Ho: 0.1511 0.4705 0.1047
Ho: 0.1092 0.1694 0.7500
Ho: 0.3908 0.6694 0.7500
Ga: 0.8548 0.1235 0.3967
Ga: 0.3548 0.3765 0.6033
Ga: 0.8548 0.1235 0.1033
Ga: 0.6452 0.6235 0.3967
Ga: 0.6452 0.6235 0.1033
Ga: 0.1452 0.8765 0.6033
Ga: 0.3548 0.3765 0.8967
Ga: 0.1452 0.8765 0.8967
Ni: 0.0969 0.1843 0.2500
Ni: 0.4031 0.6843 0.2500
Ni: 0.5802 0.3264 0.0353
Ni: 0.4198 0.6736 0.5353
Ni: 0.4198 0.6736 0.9647
Ni: 0.9198 0.8264 0.0353
Ni: 0.9198 0.8264 0.4647
Ni: 0.5802 0.3264 0.4647
Ni: 0.0802 0.1736 0.9647
Ni: 0.0802 0.1736 0.5353
Ni: 0.9031 0.8157 0.7500
Ni: 0.5969 0.3157 0.7500